# PrNp2N4

PrNp2N4 after structural relaxation (PBE, Alexandria).

abc: 3.457 11.381 10.653
angles: 90.00 90.00 90.00
Space group Cmcm (No. 63)
Unique sites:
Pr 0.000 0.108 0.250 (multiplicity 4)
Np 0.000 0.368 0.069 (multiplicity 8)
N 0.000 0.000 0.000 (multiplicity 4)
N 0.000 0.269 0.603 (multiplicity 8)
N 0.000 0.453 0.250 (multiplicity 4)

- V: 419.08 Å³ per cell
- Total DFT energy (no corrections): -288.9 eV for the cell shown
- Magnetization: 0.7094 μB per atom
- Raw formation energy: -1182 meV/atom

=====

# PrNpN

PrNpN after structural relaxation (PBE, Alexandria).

abc: 3.4712 3.4712 6.3960
angles: 90.00 90.00 120.00
Space group P3m1 (No. 156)
Unique sites:
Pr 0.0000 0.0000 0.0000 (multiplicity 1)
Np 0.6667 0.3333 0.4507 (multiplicity 1)
N 0.3333 0.6667 0.2598 (multiplicity 1)

- V: 66.74 Å³ per cell
- Total DFT energy (no corrections): -27.6 eV for the cell shown
- Distance to the lowest polymorph of the same formula: 7.82 kJ per mole of atoms
- Magnetization: 1.3906 μB per atom
- Raw formation energy: -505 meV/atom

=====

# Pr2NpN4

Pr2NpN4 after structural relaxation (PBE, Alexandria).

abc: 5.764 3.627 6.118
angles: 90.00 116.35 90.00
Space group P2/m (No. 10)
Unique sites:
Pr 0.166 0.000 0.305 (multiplicity 2)
Np 0.500 0.500 0.000 (multiplicity 1)
N 0.116 0.500 0.992 (multiplicity 2)
N 0.398 0.000 0.738 (multiplicity 2)

- V: 114.62 Å³ per cell
- Total DFT energy (no corrections): -62.9 eV for the cell shown
- Distance to the lowest polymorph of the same formula: 27.06 kJ per mole of atoms
- Magnetization: 0.3229 μB per atom
- Raw formation energy: -1008 meV/atom

=====

# Pr2PuNpN4

Pr2PuNpN4 after structural relaxation (PBE, Alexandria).

abc: 6.145 3.549 6.190
angles: 90.00 109.21 90.00
Space group P2/m (No. 10)
Unique sites:
Pr 0.000 0.000 0.000 (multiplicity 1)
Pr 0.500 0.500 0.000 (multiplicity 1)
Pu 0.000 0.500 0.500 (multiplicity 1)
Np 0.500 0.000 0.500 (multiplicity 1)
N 0.246 0.000 0.714 (multiplicity 2)
N 0.269 0.500 0.287 (multiplicity 2)

- V: 127.47 Å³ per cell
- Total DFT energy (no corrections): -80.3 eV for the cell shown
- Magnetization: 0.9429 μB per atom
- Raw formation energy: -1267 meV/atom

=====

# PrPuNpN3

PrPuNpN3 after structural relaxation (PBE, Alexandria).

abc: 7.023 3.462 8.685
angles: 90.00 90.75 90.00
Space group P2_1/m (No. 11)
Unique sites:
Pr 0.124 0.250 0.333 (multiplicity 2)
Pu 0.198 0.250 0.936 (multiplicity 2)
Np 0.379 0.750 0.642 (multiplicity 2)
N 0.122 0.750 0.088 (multiplicity 2)
N 0.156 0.250 0.635 (multiplicity 2)
N 0.398 0.750 0.398 (multiplicity 2)

- V: 211.14 Å³ per cell
- Total DFT energy (no corrections): -126.6 eV for the cell shown
- Magnetization: 1.4599 μB per atom
- Raw formation energy: -1047 meV/atom

=====

# PrPu2NpN4

PrPu2NpN4 after structural relaxation (PBE, Alexandria).

abc: 6.103 3.506 6.118
angles: 90.00 109.94 90.00
Space group P2/m (No. 10)
Unique sites:
Pr 0.000 0.000 0.000 (multiplicity 1)
Pu 0.500 0.000 0.500 (multiplicity 1)
Pu 0.500 0.500 0.000 (multiplicity 1)
Np 0.000 0.500 0.500 (multiplicity 1)
N 0.245 0.000 0.733 (multiplicity 2)
N 0.260 0.500 0.282 (multiplicity 2)

- V: 123.05 Å³ per cell
- Total DFT energy (no corrections): -89.1 eV for the cell shown
- Magnetization: 0.4339 μB per atom
- Raw formation energy: -1175 meV/atom